## Cs4La3FeO8 (PBE with a Hubbard U)

Data for a relaxed structure of Cs4La3FeO8.

Calculated values
For the density, the calculation gives 5.78 g/cm3. Its raw total energy is -98.2 eV for the cell shown.

Lattice parameters (Å, degrees): 7.236 8.070 7.436 116.68 119.12 90.00
Positions (direct):
La  0.500  0.500  0.500
Fe  0.000  0.500  0.000
O  0.238  0.348  0.048
La  0.500  0.500  0.000
Cs  0.500  0.000  0.000
O  0.762  0.652  0.952
O  0.752  0.306  0.504
O  0.190  0.652  0.952
Cs  0.500  0.000  0.500
O  0.717  0.670  0.434
La  0.000  0.500  0.500
O  0.810  0.348  0.048
Cs  0.000  0.000  0.500
O  0.283  0.330  0.566
O  0.248  0.694  0.496
Cs  0.000  0.000  0.000